DFT (PBE-GGA) results for a relaxed NaPd2CO crystal.

Cell: 4.1198 4.2096 4.1198 Å, 90.00 90.00 90.00°
Element x y z (fractional)
Pd 0.5000 0.0000 0.0000
Na 0.0000 0.5000 0.0000
C 0.5000 0.5000 0.5000
O 0.0000 0.0000 0.0000
Pd 0.0000 0.0000 0.5000

## Properties
* magnetization: 0.0 Bohr magnetons per cell
* final energy: -4.3204 eV/atom
* volume: 71.4 Å³/cell

***

DFT (PBE-GGA) results for a relaxed NaPd3C4O12 crystal.

Cell: 6.3029 6.3029 6.3029 Å, 102.27 102.27 102.27°
Element x y z (fractional)
O 0.9969 0.1766 0.3870
O 0.8950 0.5000 0.1050
C 0.5000 0.9683 0.0317
O 0.1766 0.3870 0.9969
O 0.6130 0.8234 0.0031
O 0.0031 0.6130 0.8234
O 0.3870 0.9969 0.1766
O 0.3678 0.6322 0.5000
C 0.0317 0.5000 0.9683
C 0.9683 0.0317 0.5000
O 0.5000 0.1050 0.8950
C 0.5000 0.5000 0.5000
O 0.1050 0.8950 0.5000
Pd 0.5305 0.4695 0.0000
Pd 0.4695 0.0000 0.5305
Pd 0.0000 0.5305 0.4695
O 0.8234 0.0031 0.6130
O 0.6322 0.5000 0.3678
Na 0.0000 0.0000 0.0000
O 0.5000 0.3678 0.6322

## Properties
* magnetization: 0.0 Bohr magnetons per cell
* final energy: -6.6212 eV/atom
* volume: 230.2 Å³/cell

***

DFT (PBE-GGA) results for a relaxed NaPdCO4 crystal.

Cell: 5.1924 5.1924 6.1456 Å, 90.00 90.00 113.15°
Element x y z (fractional)
C 0.8722 0.1278 0.7500
O 0.8361 0.7707 0.2500
Na 0.5000 0.5000 0.5000
O 0.7707 0.8361 0.7500
Na 0.5000 0.5000 0.0000
O 0.7723 0.2277 0.9288
O 0.1639 0.2293 0.7500
O 0.2277 0.7723 0.4288
C 0.1278 0.8722 0.2500
O 0.2293 0.1639 0.2500
O 0.7723 0.2277 0.5712
Pd 0.8177 0.1823 0.2500
Pd 0.1823 0.8177 0.7500
O 0.2277 0.7723 0.0712

## Properties
* magnetization: 2.0 Bohr magnetons per cell
* final energy: -5.9281 eV/atom
* volume: 152.3 Å³/cell

***

DFT (PBE-GGA) results for a relaxed NaPmC2O6 crystal.

Cell: 6.4129 6.4129 7.1407 Å, 99.84 99.84 107.00°
Element x y z (fractional)
O 0.2510 0.1463 0.6339
O 0.6997 0.4777 0.5950
C 0.1270 0.4137 0.2560
O 0.0440 0.5199 0.7637
Na 0.9002 0.0998 0.7500
Pm 0.4181 0.5819 0.7500
C 0.5863 0.8730 0.2440
O 0.7490 0.8537 0.3661
Na 0.0998 0.9002 0.2500
O 0.5199 0.0440 0.2637
O 0.9560 0.4801 0.2363
O 0.4801 0.9560 0.7363
O 0.1463 0.2510 0.1339
C 0.8730 0.5863 0.7440
O 0.3003 0.5223 0.4050
O 0.4777 0.6997 0.0950
Pm 0.5819 0.4181 0.2500
O 0.8537 0.7490 0.8661
C 0.4137 0.1270 0.7560
O 0.5223 0.3003 0.9050

## Properties
* magnetization: 0.0 Bohr magnetons per cell
* final energy: -7.5211 eV/atom
* volume: 269.0 Å³/cell

***

DFT (PBE-GGA) results for a relaxed Na3PmC4O12 crystal.

Cell: 6.5387 6.5387 6.5387 Å, 100.53 100.53 100.53°
Element x y z (fractional)
C 0.0270 0.5000 0.9730
O 0.8546 0.0351 0.6401
O 0.5000 0.0998 0.9002
O 0.5000 0.3730 0.6270
O 0.9002 0.5000 0.0998
O 0.6270 0.5000 0.3730
O 0.6401 0.8546 0.0351
C 0.9730 0.0270 0.5000
O 0.3599 0.9649 0.1454
O 0.0998 0.9002 0.5000
Na 0.5269 0.4731 0.0000
Na 0.4731 0.0000 0.5269
Na 0.0000 0.5269 0.4731
O 0.3730 0.6270 0.5000
Pm 0.0000 0.0000 0.0000
C 0.5000 0.5000 0.5000
C 0.5000 0.9730 0.0270
O 0.9649 0.1454 0.3599
O 0.0351 0.6401 0.8546
O 0.1454 0.3599 0.9649

## Properties
* magnetization: 2.0 Bohr magnetons per cell
* final energy: -6.9588 eV/atom
* volume: 263.4 Å³/cell

***

DFT (PBE-GGA) results for a relaxed NaPrC2O6 crystal.

Cell: 6.4788 6.4788 7.2437 Å, 99.85 99.85 107.14°
Element x y z (fractional)
O 0.4819 0.9607 0.7338
O 0.0393 0.5181 0.7662
C 0.8717 0.5863 0.7446
O 0.8546 0.7498 0.8637
O 0.5207 0.2991 0.9034
O 0.7009 0.4793 0.5966
Na 0.0998 0.9002 0.2500
O 0.9607 0.4819 0.2338
O 0.2991 0.5207 0.4034
O 0.7498 0.8546 0.3637
C 0.5863 0.8717 0.2446
O 0.4793 0.7009 0.0966
Pr 0.4163 0.5837 0.7500
O 0.5181 0.0393 0.2662
O 0.1454 0.2502 0.1363
C 0.1283 0.4137 0.2554
Pr 0.5837 0.4163 0.2500
O 0.2502 0.1454 0.6363
C 0.4137 0.1283 0.7554
Na 0.9002 0.0998 0.7500

## Properties
* magnetization: 0.0 Bohr magnetons per cell
* final energy: -7.5065 eV/atom
* volume: 278.2 Å³/cell

***

- What is the magnetization in the fifth record?
  2.0 Bohr magnetons per cell

***

Repeat the fifth record exactly.
DFT (PBE-GGA) results for a relaxed Na3PmC4O12 crystal.

Cell: 6.5387 6.5387 6.5387 Å, 100.53 100.53 100.53°
Element x y z (fractional)
C 0.0270 0.5000 0.9730
O 0.8546 0.0351 0.6401
O 0.5000 0.0998 0.9002
O 0.5000 0.3730 0.6270
O 0.9002 0.5000 0.0998
O 0.6270 0.5000 0.3730
O 0.6401 0.8546 0.0351
C 0.9730 0.0270 0.5000
O 0.3599 0.9649 0.1454
O 0.0998 0.9002 0.5000
Na 0.5269 0.4731 0.0000
Na 0.4731 0.0000 0.5269
Na 0.0000 0.5269 0.4731
O 0.3730 0.6270 0.5000
Pm 0.0000 0.0000 0.0000
C 0.5000 0.5000 0.5000
C 0.5000 0.9730 0.0270
O 0.9649 0.1454 0.3599
O 0.0351 0.6401 0.8546
O 0.1454 0.3599 0.9649

## Properties
* magnetization: 2.0 Bohr magnetons per cell
* final energy: -6.9588 eV/atom
* volume: 263.4 Å³/cell

***

- Which value of volume does entry 1 give?
  71.4 Å³/cell